No. 1
# TbThB4

Crystalline TbThB4 at its relaxed geometry (PBE, OQMD via LeMat-Bulk).

Properties
total energy: -6.9542 eV per atom
polymorph energy (0 for the lowest one): 0 meV per atom
spin magnetization: 0.00 μB per formula unit
space group: P6/mmm

abc: 3.3071 3.3071 8.1341
angles: 90.00 90.00 120.00
Fractional positions:
1 Th 0.0000 0.0000 0.0000
2 B 0.6667 0.3333 0.2611
3 B 0.3333 0.6667 0.7389
4 B 0.6667 0.3333 0.7389
5 B 0.3333 0.6667 0.2611
6 Tb 0.0000 0.0000 0.5000

No. 2
# TbThB

Crystalline TbThB at its relaxed geometry (PBE, OQMD via LeMat-Bulk).

Properties
total energy: -6.1190 eV per atom
polymorph energy (0 for the lowest one): 0 meV per atom
spin magnetization: 0.01 μB per formula unit
space group: F-43m

abc: 4.5902 4.5902 4.5902
angles: 60.00 60.00 60.00
Fractional positions:
1 Tb 0.2500 0.2500 0.2500
2 B 0.0000 0.0000 0.0000
3 Th 0.7500 0.7500 0.7500

No. 3
# TbThB4

Crystalline TbThB4 at its relaxed geometry (PBE, OQMD via LeMat-Bulk).

Properties
total energy: -6.9272 eV per atom
polymorph energy (0 for the lowest one): 27 meV per atom
spin magnetization: 0.00 μB per formula unit
space group: Immm

abc: 5.2467 5.2467 5.2467
angles: 143.10 113.64 78.42
Fractional positions:
1 Tb 0.0000 0.0000 0.0000
2 B 0.5844 0.2511 0.3333
3 B 0.4155 0.7488 0.6667
4 B 0.0822 0.7488 0.3333
5 B 0.9178 0.2511 0.6667
6 Th 0.5000 0.5000 0.0000

No. 4
# TbTlB

Crystalline TbTlB at its relaxed geometry (PBE, OQMD via LeMat-Bulk).

Properties
total energy: -3.6160 eV per atom
polymorph energy (0 for the lowest one): 715 meV per atom
spin magnetization: 0.00 μB per formula unit
space group: F-43m

abc: 4.6361 4.6361 4.6361
angles: 60.00 60.00 60.00
Fractional positions:
1 B 0.2500 0.2500 0.2500
2 Tl 0.0000 0.0000 0.0000
3 Tb 0.7500 0.7500 0.7500

No. 5
# Tb2TlB2

Crystalline Tb2TlB2 at its relaxed geometry (PBE, OQMD via LeMat-Bulk).

Properties
total energy: -4.8922 eV per atom
spin magnetization: 0.00 μB per formula unit
space group: P6_3/mmc

abc: 3.3466 3.3466 19.9994
angles: 90.00 90.00 120.00
Fractional positions:
1 Tb 0.6667 0.3333 0.3894
2 Tb 0.3333 0.6667 0.6106
3 Tb 0.6667 0.3333 0.1106
4 Tb 0.3333 0.6667 0.8894
5 Tl 0.0000 0.0000 0.2500
6 Tl 0.0000 0.0000 0.7500
7 B 0.6667 0.3333 0.5125
8 B 0.3333 0.6667 0.4875
9 B 0.6667 0.3333 0.9875
10 B 0.3333 0.6667 0.0125

No. 6
# TbTlB4

Crystalline TbTlB4 at its relaxed geometry (PBE, OQMD via LeMat-Bulk).

Properties
total energy: -5.4560 eV per atom
polymorph energy (0 for the lowest one): 119 meV per atom
spin magnetization: 0.02 μB per formula unit
space group: P6/mmm

abc: 3.2100 3.2100 9.1141
angles: 90.00 90.00 120.00
Fractional positions:
1 Tb 0.0000 0.0000 0.5000
2 B 0.6667 0.3333 0.2887
3 B 0.6667 0.3333 0.7113
4 B 0.3333 0.6667 0.7113
5 B 0.3333 0.6667 0.2887
6 Tl 0.0000 0.0000 0.0000

No. 7
# TbTlB

Crystalline TbTlB at its relaxed geometry (PBE, OQMD via LeMat-Bulk).

Properties
total energy: -4.3306 eV per atom
polymorph energy (0 for the lowest one): 0 meV per atom
spin magnetization: 0.01 μB per formula unit
space group: F-43m

abc: 4.4257 4.4257 4.4257
angles: 60.00 60.00 60.00
Fractional positions:
1 B 0.0000 0.0000 0.0000
2 Tb 0.2500 0.2500 0.2500
3 Tl 0.7500 0.7500 0.7500

No. 8
# TbTlB4

Crystalline TbTlB4 at its relaxed geometry (PBE, OQMD via LeMat-Bulk).

Properties
total energy: -5.5751 eV per atom
polymorph energy (0 for the lowest one): 0 meV per atom
spin magnetization: 0.00 μB per formula unit
space group: Immm

abc: 5.2797 5.2797 5.2797
angles: 144.38 119.13 72.56
Fractional positions:
1 B 0.4132 0.7383 0.6749
2 B 0.5868 0.2617 0.3251
3 B 0.9366 0.2617 0.6749
4 B 0.0634 0.7383 0.3251
5 Tb 0.0000 0.0000 0.0000
6 Tl 0.5000 0.5000 0.0000

Which formula does entry 2 have?
TbThB